Computed, not measured: crystalline BeTlCu2 at its relaxed geometry at the PBEsol level of DFT.

Formation enthalpy at 0 K = 0.32 eV/atom
VASP energy = -3.50 eV/atom

abc: 2.919 3.988 4.870
angles: 90.00 90.00 90.00
Element x y z (fractional)
Be 0.125 0.500 0.787
Cu 0.625 0.500 0.147
Cu 0.125 0.000 0.032
Tl 0.625 0.000 0.535

Computed, not measured: crystalline MoP3O9 at its relaxed geometry at the PBEsol level of DFT.

E_form (uncorrected) = -46.0 kcal/mol of atoms
VASP energy = -7.87 eV/atom

abc: 9.667 10.869 11.885
angles: 113.59 110.03 98.06
Element x y z (fractional)
O 0.369 0.654 0.061
O 0.697 0.364 0.004
O 0.257 0.497 0.805
O 0.641 0.181 0.290
O 0.451 0.310 0.326
O 0.692 0.585 0.182
O 0.808 0.593 0.939
O 0.137 0.014 0.421
O 0.057 0.862 0.874
O 0.216 0.593 0.579
O 0.972 0.329 0.339
O 0.008 0.495 0.044
O 0.361 0.653 0.463
O 0.010 0.402 0.818
O 0.429 0.110 0.786
O 0.525 0.668 0.929
O 0.639 0.289 0.518
O 0.979 0.709 0.623
O 0.291 0.022 0.285
O 0.188 0.224 0.378
O 0.366 0.783 0.331
O 0.192 0.360 0.996
O 0.463 0.450 0.956
O 0.738 0.444 0.427
O 0.506 0.737 0.715
O 0.851 0.890 0.710
O 0.856 0.086 0.377
O 0.297 0.940 0.843
O 0.231 0.113 0.023
O 0.535 0.452 0.669
O 0.787 0.869 0.962
O 0.096 0.740 0.071
O 0.708 0.091 0.977
O 0.621 0.770 0.482
O 0.811 0.017 0.573
O 0.658 0.276 0.726
O 0.800 0.664 0.727
O 0.398 0.190 0.537
O 0.326 0.907 0.038
O 0.873 0.813 0.378
O 0.995 0.435 0.622
O 0.625 0.985 0.674
O 0.952 0.692 0.195
O 0.102 0.241 0.654
O 0.143 0.324 0.214
O 0.684 0.988 0.126
O 0.903 0.231 0.891
O 0.947 0.586 0.346
O 0.512 0.341 0.109
O 0.133 0.990 0.661
O 0.310 0.846 0.622
O 0.573 0.937 0.273
O 0.954 0.097 0.157
O 0.431 0.550 0.274
P 0.726 0.925 0.609
P 0.029 0.362 0.937
P 0.691 0.044 0.275
P 0.232 0.965 0.955
P 0.616 0.316 0.391
P 0.592 0.425 0.063
P 0.292 0.982 0.728
P 0.778 0.010 0.045
P 0.409 0.580 0.946
P 0.917 0.769 0.725
P 0.963 0.633 0.054
P 0.440 0.689 0.378
P 0.872 0.671 0.285
P 0.087 0.385 0.715
P 0.247 0.100 0.396
P 0.562 0.311 0.622
P 0.351 0.704 0.604
P 0.064 0.255 0.272
Mo 0.976 0.515 0.488
Mo 0.325 0.332 0.157
Mo 0.657 0.661 0.822
Mo 0.668 0.174 0.843
Mo 0.988 0.027 0.512
Mo 0.335 0.839 0.178

Computed, not measured: crystalline SmAl2Ir at its relaxed geometry at the PBEsol level of DFT.

Formation enthalpy at 0 K = -0.79 eV/atom
VASP energy = -6.57 eV/atom

abc: 4.174 5.556 7.133
angles: 90.00 90.00 112.06
Element x y z (fractional)
Al 0.343 0.685 0.056
Al 0.657 0.315 0.556
Al 0.657 0.315 0.944
Al 0.343 0.685 0.444
Sm 0.936 0.871 0.750
Sm 0.064 0.129 0.250
Ir 0.785 0.571 0.250
Ir 0.215 0.429 0.750

Computed, not measured: crystalline YZrZn at its relaxed geometry at the PBEsol level of DFT.

Formation enthalpy at 0 K = -0.16 eV/atom
VASP energy = -5.99 eV/atom

abc: 3.327 3.327 6.346
angles: 105.20 105.20 90.00
Element x y z (fractional)
Zr 0.685 0.685 0.369
Y 0.992 0.992 0.984
Zn 0.323 0.323 0.646

Computed, not measured: crystalline LiGa at its relaxed geometry at the PBEsol level of DFT.

Formation enthalpy at 0 K = -0.35 eV/atom
VASP energy = -3.00 eV/atom

abc: 4.348 4.348 4.348
angles: 60.00 60.00 60.00
Element x y z (fractional)
Li 0.500 0.500 0.500
Li 0.750 0.750 0.750
Ga 0.250 0.250 0.250
Ga 0.000 0.000 0.000

Computed, not measured: crystalline Na3W2N5 at its relaxed geometry at the PBEsol level of DFT.

E_form (uncorrected) = -11.6 kcal/mol of atoms
VASP energy = -7.95 eV/atom

abc: 8.595 9.547 9.547
angles: 78.31 63.25 63.25
Element x y z (fractional)
N 0.431 0.749 0.608
N 0.789 0.892 0.249
N 0.859 0.533 0.191
N 0.335 0.102 0.667
N 0.001 0.387 0.667
N 0.800 0.309 0.033
N 0.142 0.691 0.967
N 0.583 0.467 0.809
N 0.788 0.251 0.392
N 0.752 0.833 0.602
N 0.187 0.167 0.398
N 0.758 0.794 0.988
N 0.104 0.898 0.333
N 0.054 0.613 0.333
N 0.137 0.167 0.113
N 0.417 0.833 0.887
N 0.496 0.512 0.294
N 0.302 0.488 0.706
N 0.930 0.108 0.751
N 0.539 0.206 0.012
Na 0.337 0.662 0.119
Na 0.066 0.000 0.000
Na 0.418 0.764 0.368
Na 0.931 0.868 0.736
Na 0.749 0.619 0.838
Na 0.549 0.236 0.632
Na 0.471 0.000 0.000
Na 0.221 0.500 0.500
Na 0.816 0.500 0.500
Na 0.119 0.338 0.881
Na 0.536 0.132 0.264
Na 0.207 0.381 0.162
W 0.117 0.185 0.618
W 0.920 0.815 0.382
W 0.888 0.723 0.105
W 0.052 0.118 0.315
W 0.485 0.882 0.685
W 0.361 0.605 0.777
W 0.716 0.277 0.895
W 0.743 0.395 0.223